AsAuO2: optimized geometry, PBE.

abc: 6.6282 6.6282 6.6282
angles: 28.24 28.24 28.24
Last column: nearest neighbours and their distance in Å.
Sites, in units of the cell vectors:
Au1 0.0000 0.0000 0.0000  2 O 2.07
As1 0.5000 0.5000 0.5000  6 O 2.17
O1 0.1087 0.1087 0.1087  1 Au 2.07, 3 As 2.17
O2 0.8913 0.8913 0.8913  1 Au 2.07, 3 As 2.17

Uncorrected energy = -19.6 eV per cell
ΔE_f (raw) = -0.4301 eV per atom

K2Np2AlSe6: optimized geometry, PBE.

abc: 7.0494 7.0494 8.1872
angles: 98.51 98.51 119.59
Last column: nearest neighbours and their distance in Å.
Sites, in units of the cell vectors:
K1 0.8300 0.1700 0.0000  6 Se 3.34-3.42
K2 0.1700 0.8300 0.0000  6 Se 3.34-3.42
Np1 0.3328 0.6672 0.5000  6 Se 2.86-2.88
Np2 0.6672 0.3328 0.5000  6 Se 2.86-2.88
Se1 0.2387 0.2387 0.3117  1 Al 2.60, 2 Np 2.88
Se2 0.6198 0.9326 0.3060  1 Al 2.68, 2 Np 2.86-2.87
Se3 0.7613 0.7613 0.6883  1 Al 2.60, 2 Np 2.88
Se4 0.0674 0.3802 0.6940  1 Al 2.68, 2 Np 2.86-2.87
Se5 0.3802 0.0674 0.6940  1 Al 2.68, 2 Np 2.86-2.87
Se6 0.9326 0.6198 0.3060  1 Al 2.68, 2 Np 2.86-2.87
Al1 0.0000 0.0000 0.5000  6 Se 2.60-2.68

Uncorrected energy = -64.9 eV per cell
ΔE_f (raw) = -1.1032 eV per atom

SrNpTl2Cl8: optimized geometry, PBE.

abc: 7.1090 7.0817 8.7867
angles: 90.00 90.00 92.58
Last column: nearest neighbours and their distance in Å.
Sites, in units of the cell vectors:
Tl1 0.5000 0.4999 0.7456  4 Cl 3.01-3.33
Tl2 0.5000 0.5001 0.2544  4 Cl 3.01-3.33
Cl1 0.1304 0.7901 0.7761  1 Np 2.66
Cl2 0.3101 0.1997 0.0000  1 Np 2.56
Cl3 0.1304 0.7901 0.2240  1 Np 2.66
Cl4 0.8696 0.2099 0.2239  1 Np 2.66
Cl5 0.3221 0.2546 0.5000  1 Sr 2.85, 2 Tl 3.01
Cl6 0.8696 0.2099 0.7760  1 Np 2.66
Cl7 0.6779 0.7454 0.5000  1 Sr 2.85, 2 Tl 3.01
Cl8 0.6899 0.8003 0.0000  1 Np 2.56
Np1 0.0000 0.0000 0.0000  6 Cl 2.56-2.66
Sr1 0.0000 0.0000 0.5000  6 Cl 2.85-3.01

Uncorrected energy = -53.8 eV per cell
ΔE_f (raw) = -1.6368 eV per atom

Pm4CoOs: optimized geometry, PBE.

abc: 7.7753 7.7753 7.7753
angles: 106.89 106.89 114.76
Last column: nearest neighbours and their distance in Å.
Sites, in units of the cell vectors:
Pm1 0.7011 0.5041 0.1970  1 Co 2.77, 2 Os 2.81-2.82
Pm2 0.7459 0.4455 0.6995  2 Co 2.75-2.78, 1 Os 2.80
Pm3 0.3071 0.5041 0.8030  1 Co 2.77, 2 Os 2.81-2.82
Pm4 0.7459 0.0464 0.3005  2 Co 2.75-2.78, 1 Os 2.80
Pm5 0.1955 0.9959 0.1995  2 Co 2.75-2.78, 1 Os 2.80
Pm6 0.2541 0.5571 0.3030  1 Co 2.77, 2 Os 2.81-2.82
Pm7 0.7964 0.9959 0.8005  2 Co 2.75-2.78, 1 Os 2.80
Pm8 0.2541 0.9511 0.6970  1 Co 2.77, 2 Os 2.81-2.82
Co1 0.7526 0.7526 0.0000  6 Pm 2.75-2.78
Co2 0.5026 0.0026 0.5000  6 Pm 2.75-2.78
Os1 0.9973 0.4973 0.5000  6 Pm 2.80-2.82
Os2 0.2473 0.2473 0.0000  6 Pm 2.80-2.82

Uncorrected energy = -74.8 eV per cell
ΔE_f = -0.009 eV per atom